Entry 1:
A plane-wave DFT calculation with PBE+U was carried out for a geometry-optimized NiH15IO12 structure.

Cell and atoms, written as POSCAR:
```
NiH15IO12
1.0
5.1695 0.0000 0.0000
0.0000 9.8301 0.0000
-4.7048 0.0000 9.5082
Ni H I O
2 30 2 24
Cartesian
0.0000 2.0766 0.0000
-2.3524 7.7535 4.7541
-3.8425 4.1122 7.9628
-1.4901 5.7178 3.2087
-1.0110 1.1519 2.3257
-3.3634 8.6781 7.0798
-1.0398 3.6183 2.6384
-3.3922 6.2117 7.3925
-3.2842 2.6985 7.3684
-0.9318 7.1316 2.6143
-0.7983 0.1321 4.6681
-3.1507 9.6980 9.4223
0.9628 4.2274 1.3771
-1.3896 5.6027 6.1312
1.2684 2.9068 2.2112
-1.0840 6.9233 6.9653
-1.9473 3.2694 8.9159
0.4051 6.5606 4.1618
-0.9948 1.3085 7.3378
1.3576 8.5215 2.5836
0.0682 3.7593 5.4676
2.4206 6.0708 0.7135
0.8367 1.8490 3.9371
-1.5157 7.9811 8.6912
2.4551 0.9347 0.6908
0.1027 8.8954 5.4449
1.9721 9.8282 3.2654
-0.3802 0.0018 8.0196
3.8137 4.3246 0.0156
1.4613 5.5055 4.7697
2.0901 0.1111 6.1377
4.4425 9.7189 1.3835
-2.1349 2.7902 4.7329
-4.4873 7.0399 9.4870
-3.5250 3.2017 8.2022
-1.1726 6.6284 3.4480
-2.4356 1.7063 6.2095
-0.0832 8.1238 1.4554
-0.7912 1.6904 4.0369
-3.1436 8.1396 8.7910
0.6001 3.3317 1.6181
-1.7523 6.4984 6.3723
1.6282 0.8334 0.1559
-0.7242 8.9967 4.9100
-0.8964 3.9198 5.7371
1.4560 5.9103 0.9830
1.7812 1.7423 3.5812
-0.5712 8.0877 8.3353
-1.1079 3.3512 9.4387
1.2445 6.4788 4.6846
-0.2424 0.9745 7.8914
2.1100 8.8555 3.1373
1.6714 3.9443 5.1666
4.0238 5.8857 0.4125
4.1190 0.8415 1.3794
1.7666 8.9885 6.1335
3.3335 3.9556 3.1323
0.9811 5.8745 7.8864
```

Computed properties:
* theoretical density: 2699 kg/m³
* DOS(E_F): 0.00 states/eV/atom
* crystal system: monoclinic
* total energy: -4.85 eV/atom

---

Entry 2:
A plane-wave DFT calculation with PBE+U was carried out for a geometry-optimized NiHI2O6 structure.

Cell and atoms, written as POSCAR:
```
NiHI2O6
1.0
5.9417 -5.2435 0.0000
5.9417 5.2435 0.0000
-2.8136 0.0000 5.1812
Ni H I O
2 2 4 12
Cartesian
3.8315 5.1796 3.8859
5.2383 -5.1796 1.2953
5.2383 2.2587 1.2953
3.8315 -2.2587 3.8859
1.0044 1.1754 4.2884
2.4112 -1.1754 1.6978
6.6585 1.1754 3.4835
8.0653 -1.1754 0.8928
-0.3047 0.0272 3.2080
1.1021 -0.0272 0.6174
4.3083 2.4091 0.5391
2.7254 0.2974 2.7440
4.1322 -0.2974 0.1534
6.1682 2.4091 2.0515
2.9015 -2.4091 3.1298
4.9376 0.2974 5.0279
6.3443 -0.2974 2.4372
4.7614 -2.4091 4.6421
7.9677 0.0272 4.5638
9.3745 -0.0272 1.9732
```

Computed properties:
* theoretical density: 4213 kg/m³
* DOS(E_F): 0.21 states/eV/atom
* crystal system: monoclinic
* total energy: -4.12 eV/atom

---

Question: Look up the theoretical density of the second one.
Answer: 4213 kg/m³

---

Question: The lowest DOS(E_F) belongs to which entry?
Answer: NiH15IO12

---

Question: Which formula does entry 2 have?
Answer: NiHI2O6